(1)
A plane-wave DFT calculation with PBE-GGA was carried out for crystalline MnNb2BAs at its relaxed geometry.

**Formation energy from the elements**: 7.18 eV/f.u.
**Space group**: P4/mmm, No. 123

Lattice parameters (Å, degrees): 4.8320 3.6996 4.8320 90.00 90.00 90.00
Closest atoms and distances in Å follow each position.
Fractional coordinates of all 5 atoms:
1 Nb 0.0000 0.0000 0.5000  2 As 2.42
2 Nb 0.5000 0.0000 0.0000  2 As 2.42
3 Mn 0.5000 0.5000 0.5000  8 Nb 3.04
4 As 0.0000 0.0000 0.0000  2 B 1.85
5 B 0.0000 0.5000 0.0000  2 As 1.85



(2)
A plane-wave DFT calculation with PBE-GGA was carried out for crystalline MnRe2BAs at its relaxed geometry.

**Formation energy from the elements**: 10.88 eV/f.u.
**Space group**: P4/mmm, No. 123

Lattice parameters (Å, degrees): 4.6585 3.6628 4.6585 90.00 90.00 90.00
Closest atoms and distances in Å follow each position.
Fractional coordinates of all 5 atoms:
1 Re 0.0000 0.0000 0.5000  2 As 2.33
2 Re 0.5000 0.0000 0.0000  2 As 2.33
3 As 0.0000 0.0000 0.0000  2 B 1.83
4 Mn 0.5000 0.5000 0.5000  8 Re 2.96, 4 B 3.29
5 B 0.0000 0.5000 0.0000  2 As 1.83



(3)
A plane-wave DFT calculation with PBE-GGA was carried out for crystalline MnBAsS2 at its relaxed geometry.

**Distance to the lowest polymorph of the same formula**: 0.0000 eV/atom
**Space group**: P4/mmm, No. 123

Lattice parameters (Å, degrees): 4.5124 3.7815 4.5124 90.00 90.00 90.00
Closest atoms and distances in Å follow each position.
Fractional coordinates of all 5 atoms:
1 As 0.5000 0.5000 0.5000  8 S 2.94, 4 B 3.19
2 Mn 0.0000 0.0000 0.0000  2 B 1.89
3 S 0.0000 0.0000 0.5000  2 Mn 2.26
4 S 0.5000 0.0000 0.0000  2 Mn 2.26
5 B 0.0000 0.5000 0.0000  2 Mn 1.89



(4)
A plane-wave DFT calculation with PBE-GGA was carried out for crystalline MnBAsS2 at its relaxed geometry.

**Distance to the lowest polymorph of the same formula**: 0.3386 eV/atom
**Space group**: P4/mmm, No. 123

Lattice parameters (Å, degrees): 4.1100 4.2310 4.1100 90.00 90.00 90.00
Closest atoms and distances in Å follow each position.
Fractional coordinates of all 5 atoms:
1 As 0.0000 0.5000 0.0000  2 B 2.12
2 Mn 0.5000 0.5000 0.5000  4 As 2.91, 8 S 2.95
3 S 0.0000 0.0000 0.5000  2 B 2.05
4 S 0.5000 0.0000 0.0000  2 B 2.05
5 B 0.0000 0.0000 0.0000  4 S 2.05, 2 As 2.12



(5)
A plane-wave DFT calculation with PBE-GGA was carried out for crystalline MnBAs2Se at its relaxed geometry.

**Distance to the lowest polymorph of the same formula**: 0.0000 eV/atom
**Space group**: P4/mmm, No. 123

Lattice parameters (Å, degrees): 4.2791 4.2791 4.4027 90.00 90.00 90.00
Closest atoms and distances in Å follow each position.
Fractional coordinates of all 5 atoms:
1 As 0.0000 0.5000 0.0000  2 B 2.14
2 As 0.5000 0.0000 0.0000  2 B 2.14
3 Mn 0.5000 0.5000 0.5000  4 Se 3.03, 8 As 3.07
4 B 0.0000 0.0000 0.0000  4 As 2.14, 2 Se 2.20
5 Se 0.0000 0.0000 0.5000  2 B 2.20



(6)
A plane-wave DFT calculation with PBE-GGA was carried out for crystalline MnBAs2Se at its relaxed geometry.

**Distance to the lowest polymorph of the same formula**: 0.0160 eV/atom
**Space group**: P4/mmm, No. 123

Lattice parameters (Å, degrees): 4.5788 4.5788 4.8985 90.00 90.00 90.00
Closest atoms and distances in Å follow each position.
Fractional coordinates of all 5 atoms:
1 As 0.0000 0.5000 0.0000  2 Mn 2.29
2 As 0.5000 0.0000 0.0000  2 Mn 2.29
3 Mn 0.0000 0.0000 0.0000  4 As 2.29, 2 Se 2.45
4 B 0.5000 0.5000 0.5000  4 Se 3.24, 8 As 3.35
5 Se 0.0000 0.0000 0.5000  2 Mn 2.45



(7)
A plane-wave DFT calculation with PBE-GGA was carried out for crystalline MnSn2BAs at its relaxed geometry.

**Formation energy from the elements**: 3.49 eV/f.u.
**Space group**: P4/mmm, No. 123

Lattice parameters (Å, degrees): 4.8466 3.9144 4.8466 90.00 90.00 90.00
Closest atoms and distances in Å follow each position.
Fractional coordinates of all 5 atoms:
1 As 0.5000 0.5000 0.5000  8 Sn 3.11, 4 Mn 3.43
2 Mn 0.0000 0.5000 0.0000  2 B 1.96
3 Sn 0.0000 0.0000 0.5000  2 B 2.42
4 Sn 0.5000 0.0000 0.0000  2 B 2.42
5 B 0.0000 0.0000 0.0000  2 Mn 1.96



(8)
A plane-wave DFT calculation with PBE-GGA was carried out for crystalline BMo2As at its relaxed geometry.

**Formation energy from the elements**: -1.03 eV/f.u.
**Distance to the lowest polymorph of the same formula**: 0.0000 eV/atom
**Space group**: C2/m, No. 12

Lattice parameters (Å, degrees): 8.3164 3.1709 10.5800 90.00 126.31 90.00
Closest atoms and distances in Å follow each position.
Fractional coordinates of all 16 atoms:
1 Mo 0.3485 0.0000 0.2038  3 B 2.30-2.44
2 Mo 0.6515 0.0000 0.7962  3 B 2.30-2.44
3 Mo 0.3485 0.5000 0.7038  3 B 2.30-2.44
4 Mo 0.6515 0.5000 0.2962  3 B 2.30-2.44
5 Mo 0.3000 0.0000 0.4588  4 B 2.32-2.35, 2 As 2.56
6 Mo 0.7000 0.0000 0.5412  4 B 2.32-2.35, 2 As 2.56
7 Mo 0.3000 0.5000 0.9588  4 B 2.32-2.35, 2 As 2.56
8 Mo 0.7000 0.5000 0.0412  4 B 2.32-2.35, 2 As 2.56
9 B 0.5487 0.0000 0.1043  1 B 1.85
10 B 0.4513 0.0000 0.8957  1 B 1.85
11 B 0.5487 0.5000 0.6043  1 B 1.85
12 B 0.4513 0.5000 0.3957  1 B 1.85
13 As 0.9899 0.0000 0.1279  4 Mo 2.56-2.87, 1 As 2.81
14 As 0.0101 0.0000 0.8721  4 Mo 2.56-2.87, 1 As 2.81
15 As 0.9899 0.5000 0.6279  4 Mo 2.56-2.87, 1 As 2.81
16 As 0.0101 0.5000 0.3721  4 Mo 2.56-2.87, 1 As 2.81



(9)
A plane-wave DFT calculation with PBE-GGA was carried out for crystalline BMo2As at its relaxed geometry.

**Formation energy from the elements**: -0.79 eV/f.u.
**Distance to the lowest polymorph of the same formula**: 0.0608 eV/atom
**Space group**: P1, No. 1

Lattice parameters (Å, degrees): 3.1491 5.5046 6.9378 78.62 78.05 73.68
Closest atoms and distances in Å follow each position.
Fractional coordinates of all 8 atoms:
1 Mo 0.6364 0.2557 0.3877  3 B 2.31-2.44
2 Mo 0.3778 0.8118 0.3499  4 B 2.24-2.35
3 Mo 0.3206 0.5428 0.7545  4 B 2.32-2.37, 2 As 2.56-2.57
4 Mo 0.0712 0.0958 0.6998  3 B 2.31-2.41
5 B 0.7569 0.8309 0.5846  1 B 1.82
6 B 0.9514 0.5170 0.5050  1 B 1.82
7 As 0.6728 0.5732 0.0483  4 Mo 2.56-2.64, 1 As 2.83
8 As 0.4335 0.1144 0.0141  4 Mo 2.59-2.69, 2 As 2.83-2.90



(10)
A plane-wave DFT calculation with PBE-GGA was carried out for crystalline BMo2As2 at its relaxed geometry.

**Formation energy from the elements**: 4.87 eV/f.u.
**Distance to the lowest polymorph of the same formula**: 0.1965 eV/atom
**Space group**: I4/mmm, No. 139

Lattice parameters (Å, degrees): 3.7134 3.7134 7.3255 75.32 75.32 90.00
Closest atoms and distances in Å follow each position.
Fractional coordinates of all 5 atoms:
1 Mo 0.7500 0.2500 0.5000  4 Mo 2.63, 4 As 2.64
2 Mo 0.2500 0.7500 0.5000  4 Mo 2.63, 4 As 2.64
3 B 0.0000 0.0000 0.0000  8 As 3.04
4 As 0.3874 0.3874 0.2253  4 Mo 2.64
5 As 0.6126 0.6126 0.7747  4 Mo 2.64



(11)
A plane-wave DFT calculation with PBE-GGA was carried out for crystalline BMo2As at its relaxed geometry.

**Formation energy from the elements**: -0.78 eV/f.u.
**Distance to the lowest polymorph of the same formula**: 0.0623 eV/atom
**Space group**: Pm, No. 6

Lattice parameters (Å, degrees): 5.2466 3.1742 6.7137 90.00 91.22 90.00
Closest atoms and distances in Å follow each position.
Fractional coordinates of all 8 atoms:
1 Mo 0.1234 0.0000 0.5494  4 B 2.36-2.37, 2 Mo 2.64
2 Mo 0.6280 0.0000 0.6928  4 B 2.29-2.30
3 Mo 0.6048 0.0000 0.2674  4 B 2.34-2.37
4 Mo 0.1164 0.5000 0.2357  2 B 2.39-2.41, 3 As 2.47-2.59, 2 Mo 2.64
5 B 0.7951 0.5000 0.4868  1 B 1.84
6 B 0.4447 0.5000 0.4877  1 B 1.84
7 As 0.7693 0.5000 0.9808  5 Mo 2.47-2.65
8 As 0.2600 0.0000 0.9554  5 Mo 2.59-2.80



(12)
A plane-wave DFT calculation with PBE-GGA was carried out for crystalline BMoAs3 at its relaxed geometry.

**Formation energy from the elements**: 4.97 eV/f.u.
**Distance to the lowest polymorph of the same formula**: 0.0000 eV/atom
**Space group**: Pm-3m, No. 221

Lattice parameters (Å, degrees): 4.3617 4.3617 4.3617 90.00 90.00 90.00
Closest atoms and distances in Å follow each position.
Fractional coordinates of all 5 atoms:
1 Mo 0.5000 0.5000 0.5000  12 As 3.08
2 B 0.0000 0.0000 0.0000  6 As 2.18
3 As 0.0000 0.5000 0.0000  2 B 2.18
4 As 0.0000 0.0000 0.5000  2 B 2.18
5 As 0.5000 0.0000 0.0000  2 B 2.18